This record from the Alexandria database describes an optimized crystal structure of YCoAs2Br. The functional is GGA-PBE.

Summary:
**ΔE to the lowest computed polymorph**: 0 meV/atom
**N(E_F)**: 4.0 states/eV/cell
**DFT total energy**: -5.141 eV per atom
**ΔE_f (raw)**: -0.2330 eV/atom

abc: 4.593 4.593 5.076
angles: 90.00 90.00 90.00
Space group P4/mmm (No. 123)
Asymmetric unit:
Y  0.000  0.000  0.000 x1
Co  0.500  0.500  0.500 x1
As  0.000  0.500  0.500 x2
Br  0.500  0.500  0.000 x1

---

This record from the Alexandria database describes an optimized crystal structure of YCoAs2Br. The functional is GGA-PBE.

Summary:
**ΔE to the lowest computed polymorph**: 860 meV/atom
**N(E_F)**: 8.3 states/eV/cell
**DFT total energy**: -4.282 eV per atom
**ΔE_f (raw)**: 0.6266 eV/atom

abc: 5.491 5.491 5.421
angles: 90.00 90.00 90.00
Space group P4/mmm (No. 123)
Asymmetric unit:
Y  0.000  0.000  0.000 x1
Co  0.500  0.500  0.500 x1
As  0.000  0.500  0.000 x2
Br  0.000  0.000  0.500 x1

---

This record from the Alexandria database describes an optimized crystal structure of ZnCoAsBr. The functional is GGA-PBE.

Summary:
**ΔE to the lowest computed polymorph**: 13 meV/atom
**N(E_F)**: 5.2 states/eV/cell
**DFT total energy**: -3.780 eV per atom
**ΔE_f (raw)**: -0.1039 eV/atom

abc: 6.123 3.578 7.982
angles: 90.00 104.83 90.00
Space group Cm (No. 8)
Asymmetric unit:
Zn  0.000  0.000  0.000 x2
Co  0.258  0.000  0.777 x2
As  0.381  0.500  0.652 x2
Br  0.408  0.000  0.212 x2

---

This record from the Alexandria database describes an optimized crystal structure of ZnCoAsBr. The functional is GGA-PBE.

Summary:
**ΔE to the lowest computed polymorph**: 62 meV/atom
**N(E_F)**: 4.7 states/eV/cell
**DFT total energy**: -3.730 eV per atom
**ΔE_f (raw)**: -0.0547 eV/atom

abc: 3.6092 3.6092 22.2952
angles: 90.00 90.00 120.00
Space group R3m (No. 160, hexagonal axes)
Asymmetric unit:
Zn  0.0000  0.0000  0.0000 x3
Co  0.0000  0.0000  0.4836 x3
As  0.0000  0.0000  0.1089 x3
Br  0.0000  0.0000  0.5933 x3

---

This record from the Alexandria database describes an optimized crystal structure of ZnCoAsBr2. The functional is GGA-PBE.

Summary:
**ΔE to the lowest computed polymorph**: 0 meV/atom
**N(E_F)**: 3.8 states/eV/cell
**DFT total energy**: -3.014 eV per atom
**ΔE_f (raw)**: 0.2615 eV/atom

abc: 5.086 5.086 4.454
angles: 90.00 90.00 90.00
Space group P4/mmm (No. 123)
Asymmetric unit:
Zn  0.000  0.000  0.000 x1
Co  0.500  0.500  0.500 x1
As  0.500  0.500  0.000 x1
Br  0.000  0.500  0.500 x2

---

This record from the Alexandria database describes an optimized crystal structure of ZnCoAsBr. The functional is GGA-PBE.

Summary:
**ΔE to the lowest computed polymorph**: 0 meV/atom
**N(E_F)**: 2.5 states/eV/cell
**DFT total energy**: -3.792 eV per atom
**ΔE_f (raw)**: -0.1169 eV/atom

abc: 3.887 4.006 6.180
angles: 102.42 90.15 119.00
Space group P1 (No. 1)
Asymmetric unit:
Zn  0.000  0.000  0.000 x1
Co  0.706  0.409  0.240 x1
As  0.369  0.737  0.211 x1
Br  0.748  0.488  0.642 x1

---

This record from the Alexandria database describes an optimized crystal structure of ZnCoAs2Br. The functional is GGA-PBE.

Summary:
**ΔE to the lowest computed polymorph**: 633 meV/atom
**N(E_F)**: 4.1 states/eV/cell
**DFT total energy**: -2.862 eV per atom
**ΔE_f (raw)**: 1.0085 eV/atom

abc: 4.758 4.758 5.364
angles: 90.00 90.00 90.00
Space group P4/mmm (No. 123)
Asymmetric unit:
Zn  0.000  0.000  0.000 x1
Co  0.500  0.500  0.500 x1
As  0.000  0.500  0.000 x2
Br  0.000  0.000  0.500 x1

---

This record from the Alexandria database describes an optimized crystal structure of ZnCoAsBr. The functional is GGA-PBE.

Summary:
**ΔE to the lowest computed polymorph**: 78 meV/atom
**N(E_F)**: 2.7 states/eV/cell
**DFT total energy**: -3.714 eV per atom
**ΔE_f (raw)**: -0.0387 eV/atom

abc: 2.811 3.255 8.802
angles: 79.64 80.98 89.99
Space group P1 (No. 1)
Asymmetric unit:
Zn  0.000  0.000  0.000 x1
Co  0.412  0.414  0.178 x1
As  0.845  0.847  0.315 x1
Br  0.142  0.141  0.711 x1

---

This record from the Alexandria database describes an optimized crystal structure of ZnCoAsBr. The functional is GGA-PBE.

Summary:
**ΔE to the lowest computed polymorph**: 3 meV/atom
**N(E_F)**: 9.2 states/eV/cell
**DFT total energy**: -3.789 eV per atom
**ΔE_f (raw)**: -0.1139 eV/atom

abc: 3.7673 3.7673 19.4552
angles: 90.00 90.00 120.00
Space group R3m (No. 160, hexagonal axes)
Asymmetric unit:
Zn  0.0000  0.0000  0.0000 x3
Co  0.0000  0.0000  0.1248 x3
As  0.0000  0.0000  0.7539 x3
Br  0.0000  0.0000  0.2505 x3

---

This record from the Alexandria database describes an optimized crystal structure of ZnCoAsBr. The functional is GGA-PBE.

Summary:
**ΔE to the lowest computed polymorph**: 5 meV/atom
**N(E_F)**: 5.0 states/eV/cell
**DFT total energy**: -3.788 eV per atom
**ΔE_f (raw)**: -0.1122 eV/atom

abc: 6.199 3.587 7.857
angles: 90.00 104.65 90.00
Space group Cm (No. 8)
Asymmetric unit:
Zn  0.000  0.000  0.000 x2
Co  0.263  0.000  0.778 x2
As  0.060  0.500  0.662 x2
Br  0.234  0.500  0.212 x2

---

This record from the Alexandria database describes an optimized crystal structure of ZnCoAsBr. The functional is GGA-PBE.

Summary:
**ΔE to the lowest computed polymorph**: 82 meV/atom
**N(E_F)**: 1.5 states/eV/cell
**DFT total energy**: -3.710 eV per atom
**ΔE_f (raw)**: -0.0344 eV/atom

abc: 2.972 3.245 8.148
angles: 90.00 100.28 90.00
Space group Pm (No. 6)
Asymmetric unit:
Zn  0.000  0.000  0.000 x1
Co  0.402  0.500  0.801 x1
As  0.837  0.000  0.668 x1
Br  0.119  0.500  0.246 x1

---

This record from the Alexandria database describes an optimized crystal structure of ZnCoAs2Br. The functional is GGA-PBE.

Summary:
**ΔE to the lowest computed polymorph**: 0 meV/atom
**N(E_F)**: 4.8 states/eV/cell
**DFT total energy**: -3.495 eV per atom
**ΔE_f (raw)**: 0.3756 eV/atom

abc: 4.499 4.499 5.371
angles: 90.00 90.00 90.00
Space group P4/mmm (No. 123)
Asymmetric unit:
Zn  0.000  0.000  0.000 x1
Co  0.500  0.500  0.500 x1
As  0.000  0.500  0.500 x2
Br  0.500  0.500  0.000 x1

---

> The highest ΔE_f (raw) belongs to which entry?

number 7